No. 1
Computed, not measured: a relaxed Rb2CuBiC crystal at the PBE-GGA level of DFT.

Results
E_form: 1185 meV/atom

Cell lengths 6.599, 6.599, 4.860 Å; angles 90.00, 90.00, 90.00 degrees
Space group P4/mmm (No. 123)
Asymmetric unit:
Rb (0.000, 0.500, 0.000) [2 per cell]
Cu (0.000, 0.000, 0.000) [1 per cell]
Bi (0.000, 0.000, 0.500) [1 per cell]
C (0.500, 0.500, 0.500) [1 per cell]

No. 2
Computed, not measured: a relaxed InCoHg2 crystal at the PBE-GGA level of DFT.

Results
E_form: 410 meV/atom

Cell lengths 5.725, 10.268, 3.275 Å; angles 90.00, 120.59, 90.00 degrees
Space group C2/m (No. 12)
Asymmetric unit:
In (0.000, 0.000, 0.000) [2 per cell]
Co (0.000, 0.500, 0.000) [2 per cell]
Hg (0.250, 0.250, 0.000) [4 per cell]

No. 3
Computed, not measured: a relaxed LiTmTlCu crystal at the PBE-GGA level of DFT.

Results
E_form: -236 meV/atom

Cell lengths 6.664, 6.664, 6.664 Å; angles 90.00, 90.00, 90.00 degrees
Space group F-43m (No. 216)
Asymmetric unit:
Li (0.000, 0.000, 0.000) [4 per cell]
Tm (0.250, 0.250, 0.250) [4 per cell]
Tl (0.250, 0.250, 0.750) [4 per cell]
Cu (0.000, 0.000, 0.500) [4 per cell]

No. 4
Computed, not measured: a relaxed Y2SiPb2 crystal at the PBE-GGA level of DFT.

Results
energy relative to the elements, uncorrected: -1.660 eV per formula unit

Cell lengths 7.624, 7.624, 4.847 Å; angles 90.00, 90.00, 90.00 degrees
Space group P4/mbm (No. 127)
Asymmetric unit:
Y (0.170, 0.330, 0.000) [4 per cell]
Si (0.000, 0.000, 0.000) [2 per cell]
Pb (0.146, 0.646, 0.500) [4 per cell]

No. 5
Computed, not measured: a relaxed La5Tb2Er4 crystal at the PBE-GGA level of DFT.

Results
E_form: 80 meV/atom

Cell lengths 17.807, 3.564, 11.736 Å; angles 90.00, 93.89, 90.00 degrees
Space group C2/m (No. 12)
Asymmetric unit:
La (0.000, 0.000, 0.000) [2 per cell]
La (0.097, 0.500, 0.534) [4 per cell]
La (0.176, 0.500, 0.072) [4 per cell]
Tb (0.216, 0.000, 0.349) [4 per cell]
Er (0.035, 0.500, 0.261) [4 per cell]
Er (0.140, 0.000, 0.797) [4 per cell]

No. 6
Computed, not measured: a relaxed Cs3Nd2CdSe6 crystal at the PBE-GGA level of DFT.

Results
energy relative to the elements, uncorrected: -15.621 eV per formula unit

Cell lengths 7.552, 13.069, 8.782 Å; angles 90.00, 106.65, 90.00 degrees
Space group C2/m (No. 12)
Asymmetric unit:
Cs (0.000, 0.000, 0.000) [2 per cell]
Cs (0.000, 0.333, 0.000) [4 per cell]
Nd (0.000, 0.167, 0.500) [4 per cell]
Cd (0.000, 0.500, 0.500) [2 per cell]
Se (0.228, 0.335, 0.689) [8 per cell]
Se (0.233, 0.000, 0.690) [4 per cell]

No. 7
Computed, not measured: a relaxed Tb3PmSmEr crystal at the PBE-GGA level of DFT.

Results
E_form: 18 meV/atom

Cell lengths 5.056, 15.189, 10.119 Å; angles 90.00, 90.00, 90.00 degrees
Space group Cmcm (No. 63)
Asymmetric unit:
Tb (0.000, 0.168, 0.000) [8 per cell]
Tb (0.000, 0.332, 0.250) [4 per cell]
Pm (0.000, 0.000, 0.250) [4 per cell]
Sm (0.000, 0.500, 0.000) [4 per cell]
Er (0.000, 0.332, 0.750) [4 per cell]

No. 8
Computed, not measured: a relaxed PmZn9In2 crystal at the PBE-GGA level of DFT.

Results
E_form: -115 meV/atom

Cell lengths 5.4609, 5.4609, 25.2626 Å; angles 90.00, 90.00, 120.00 degrees
Space group R-3m (No. 166, hexagonal axes)
Asymmetric unit:
Pm (0.0000, 0.0000, 0.0000) [3 per cell]
Zn (0.0000, 0.0000, 0.3320) [6 per cell]
Zn (0.0000, 0.0000, 0.5000) [3 per cell]
Zn (0.0017, 0.5009, 0.9166) [18 per cell]
In (0.0000, 0.0000, 0.1383) [6 per cell]

Number 1: raw total energy -13.2 eV per cell, size of the total moment 2.00 μB per formula unit. Number 2: raw total energy -17.6 eV per cell, size of the total moment 1.37 μB per formula unit. Number 3: raw total energy -55.2 eV per cell, size of the total moment 0.00 μB per formula unit. Number 4: raw total energy -54.9 eV per cell, size of the total moment 0.00 μB per formula unit. Number 5: raw total energy -102.5 eV per cell, size of the total moment 0.00 μB per formula unit. Number 6: raw total energy -99.1 eV per cell, size of the total moment 0.00 μB per formula unit. Number 7: raw total energy -111.3 eV per cell, size of the total moment 0.00 μB per formula unit. Number 8: raw total energy -69.2 eV per cell, size of the total moment 0.00 μB per formula unit.